Material: CdWAu2
Method: DFT, GGA-PBEsol
State: relaxed

Cell and atoms, written as CIF:
```
data_CdWAu2
_symmetry_space_group_name_H-M 'F m -3 m'
_symmetry_Int_Tables_number 225
_symmetry_space_group_name_Hall '-F 4 2 3'
_cell_length_a 6.504
_cell_length_b 6.504
_cell_length_c 6.504
_cell_angle_alpha 90.00
_cell_angle_beta 90.00
_cell_angle_gamma 90.00
loop_
_atom_site_label
_atom_site_fract_x
_atom_site_fract_y
_atom_site_fract_z
_atom_site_occupancy
Cd1 0.000 0.000 0.000 1
W1 0.000 0.000 0.500 1
Au1 0.250 0.250 0.250 1
```

Values from the calculation:
The value obtained for the density of states at the Fermi level is 17.6 states/eV/cell. The formation enthalpy at 0 K is 0.5195 eV per atom. For the calculated density, the calculation gives 16.67 g/cm³.


Material: LaPRu2
Method: DFT, GGA-PBEsol
State: relaxed

Cell and atoms, written as CIF:
```
data_LaPRu2
_symmetry_space_group_name_H-M 'C m c m'
_symmetry_Int_Tables_number 63
_symmetry_space_group_name_Hall '-C 2c 2'
_cell_length_a 4.113
_cell_length_b 17.042
_cell_length_c 4.035
_cell_angle_alpha 90.00
_cell_angle_beta 90.00
_cell_angle_gamma 90.00
loop_
_atom_site_label
_atom_site_fract_x
_atom_site_fract_y
_atom_site_fract_z
_atom_site_occupancy
La1 0.000 0.100 0.250 1
P1 0.000 0.319 0.250 1
Ru1 0.000 0.249 0.750 1
Ru2 0.000 0.459 0.250 1
```

Values from the calculation:
The value obtained for the density of states at the Fermi level is 8.4 states/eV/cell. The formation enthalpy at 0 K is -0.7465 eV per atom. For the calculated density, the calculation gives 8.74 g/cm³.


Material: CuRu
Method: DFT, GGA-PBEsol
State: relaxed

Cell and atoms, written as CIF:
```
data_CuRu
_symmetry_space_group_name_H-M 'C m m m'
_symmetry_Int_Tables_number 65
_symmetry_space_group_name_Hall '-C 2 2'
_cell_length_a 2.697
_cell_length_b 4.323
_cell_length_c 4.374
_cell_angle_alpha 90.00
_cell_angle_beta 90.00
_cell_angle_gamma 90.00
loop_
_atom_site_label
_atom_site_fract_x
_atom_site_fract_y
_atom_site_fract_z
_atom_site_occupancy
Cu1 0.000 0.000 0.000 1
Ru1 0.000 0.500 0.500 1
```

Values from the calculation:
The value obtained for the density of states at the Fermi level is 5.2 states/eV/cell. The formation enthalpy at 0 K is 0.4247 eV per atom. For the calculated density, the calculation gives 10.72 g/cm³.


Material: Li2ZnNi
Method: DFT, GGA-PBEsol
State: relaxed

Cell and atoms, written as CIF:
```
data_Li2ZnNi
_symmetry_space_group_name_H-M 'C m m m'
_symmetry_Int_Tables_number 65
_symmetry_space_group_name_Hall '-C 2 2'
_cell_length_a 2.697
_cell_length_b 4.232
_cell_length_c 8.670
_cell_angle_alpha 90.00
_cell_angle_beta 90.00
_cell_angle_gamma 90.00
loop_
_atom_site_label
_atom_site_fract_x
_atom_site_fract_y
_atom_site_fract_z
_atom_site_occupancy
Li1 0.000 0.000 0.232 1
Zn1 0.000 0.500 0.500 1
Ni1 0.000 0.500 0.000 1
```

Values from the calculation:
The value obtained for the density of states at the Fermi level is 4.0 states/eV/cell. The formation enthalpy at 0 K is -0.0180 eV per atom. For the calculated density, the calculation gives 4.63 g/cm³.